Below is a relaxed Tl2OsN2 crystal, with properties calculated at the GGA-PBE level.

a b c (Å): 3.1611 3.1611 7.9553
angles (deg): 78.54 78.54 90.00
Fractional positions:
Tl 0.3782 0.3782 0.2435
Os 0.0000 0.0000 0.0000
Tl 0.6218 0.6218 0.7565
N 0.2500 0.7500 0.5000
N 0.7500 0.2500 0.5000

ΔE_f (raw) in eV/atom: 1.948
Relative energy among the computed polymorphs in eV/atom: 0.0000

Below is a relaxed Tm2ZrOsN crystal, with properties calculated at the GGA-PBE level.

a b c (Å): 4.6082 4.6082 4.3884
angles (deg): 90.00 90.00 90.00
Fractional positions:
Tm 0.0000 0.5000 0.9999
Os 0.5000 0.5000 0.5001
Tm 0.5000 0.0000 0.0000
N 0.0000 0.0000 0.0001
Zr 0.0000 0.0000 0.5000

ΔE_f (raw) in eV/atom: -0.657

Below is a relaxed UOsN crystal, with properties calculated at the GGA-PBE level.

a b c (Å): 3.9221 3.9221 7.9708
angles (deg): 75.76 75.76 60.00
Last column: magnetic moment on the atom in μB.
Fractional positions:
U 0.3943 0.3943 0.8170  1.38
Os 0.8492 0.8492 0.4524  0.09
N 0.7004 0.7004 0.8987  -0.08
U 0.6057 0.6057 0.1830  1.38
Os 0.1508 0.1508 0.5476  0.09
N 0.2996 0.2996 0.1013  -0.08

ΔE_f (raw) in eV/atom: -0.493
Relative energy among the computed polymorphs in eV/atom: 0.0000

Below is a relaxed UOsN crystal, with properties calculated at the GGA-PBE level.

a b c (Å): 4.0440 4.0440 4.2571
angles (deg): 118.36 118.36 90.00
Last column: magnetic moment on the atom in μB.
Fractional positions:
Os 0.3088 0.3088 0.6177  -0.04
N 0.6131 0.6131 0.2261  0.00
U 0.9281 0.9281 0.8562  0.87

ΔE_f (raw) in eV/atom: 0.358
Relative energy among the computed polymorphs in eV/atom: 0.8512

Below is a relaxed VOsN2 crystal, with properties calculated at the GGA-PBE level.

a b c (Å): 3.7362 3.7362 3.7362
angles (deg): 60.00 60.00 60.00
Last column: magnetic moment on the atom in μB.
Fractional positions:
V 0.0000 0.0000 0.0000  0.42
Os 0.5000 0.5000 0.5000  0.17
N 0.2500 0.2500 0.2500  -0.02
N 0.7500 0.7500 0.7500  -0.02

ΔE_f (raw) in eV/atom: 0.633
Relative energy among the computed polymorphs in eV/atom: 0.7256

Below is a relaxed V4OsN crystal, with properties calculated at the GGA-PBE level.

a b c (Å): 3.8765 3.8784 6.5183
angles (deg): 72.66 72.70 60.02
Fractional positions:
V 0.1058 0.1055 0.6830
N 0.0000 0.0000 0.0000
V 0.3569 0.3568 0.9294
V 0.8942 0.8945 0.3170
V 0.6431 0.6432 0.0706
Os 0.5000 0.5000 0.5000

ΔE_f (raw) in eV/atom: 0.005

Below is a relaxed VOsN2 crystal, with properties calculated at the GGA-PBE level.

a b c (Å): 4.3186 4.3186 5.7798
angles (deg): 68.06 68.06 90.00
Fractional positions:
N 0.6071 0.1250 0.2500
N 0.8750 0.8571 0.7500
Os 0.7500 0.2500 0.5000
N 0.1429 0.6250 0.2500
N 0.3750 0.3929 0.7500
V 0.2500 0.7500 0.5000
Os 0.0000 0.0000 0.0000
V 0.5000 0.5000 0.0000

ΔE_f (raw) in eV/atom: -0.086
Relative energy among the computed polymorphs in eV/atom: 0.0070

Below is a relaxed VOs2N crystal, with properties calculated at the GGA-PBE level.

a b c (Å): 5.1186 5.1186 5.9290
angles (deg): 64.43 64.43 90.00
Fractional positions:
N 0.2500 0.7500 0.5000
V 0.0000 0.0000 0.0000
Os 0.3750 0.4508 0.7500
Os 0.5492 0.1250 0.2500
N 0.5000 0.5000 0.0000
Os 0.2008 0.6250 0.2500
Os 0.8750 0.7992 0.7500
V 0.7500 0.2500 0.5000

ΔE_f (raw) in eV/atom: 0.621

Below is a relaxed VOsN2 crystal, with properties calculated at the GGA-PBE level.

a b c (Å): 6.5135 6.5135 6.5135
angles (deg): 24.67 24.67 24.67
Last column: magnetic moment on the atom in μB.
Fractional positions:
N 0.1042 0.1042 0.1042  -0.01
Os 0.0000 0.0000 0.0000  0.35
N 0.8958 0.8958 0.8958  -0.01
V 0.5000 0.5000 0.5000  0.30

ΔE_f (raw) in eV/atom: -0.093
Relative energy among the computed polymorphs in eV/atom: 0.0000

Below is a relaxed ZrVOsN2 crystal, with properties calculated at the GGA-PBE level.

a b c (Å): 3.8398 4.7954 3.8398
angles (deg): 90.00 90.00 90.00
Fractional positions:
N 0.0000 0.0000 0.5000
Os 0.0000 0.5000 0.0000
V 0.0000 0.0000 0.0000
Zr 0.5000 0.5000 0.5000
N 0.5000 0.0000 0.0000

ΔE_f (raw) in eV/atom: 0.505

Below is a relaxed OsWN2 crystal, with properties calculated at the GGA-PBE level.

a b c (Å): 4.0696 4.0696 6.4025
angles (deg): 71.47 71.47 90.00
Fractional positions:
N 0.3750 0.3784 0.7500
N 0.8750 0.8716 0.7500
W 0.2500 0.7500 0.5000
Os 0.0000 0.0000 0.0000
Os 0.7500 0.2500 0.5000
W 0.5000 0.5000 0.0000
N 0.6216 0.1250 0.2500
N 0.1284 0.6250 0.2500

ΔE_f (raw) in eV/atom: 0.269
Relative energy among the computed polymorphs in eV/atom: 0.0720

Below is a relaxed OsWN crystal, with properties calculated at the GGA-PBE level.

a b c (Å): 2.8142 2.8142 9.0222
angles (deg): 90.00 90.00 90.00
Fractional positions:
Os 0.0000 0.5000 0.6012
W 0.5000 0.0000 0.8334
W 0.0000 0.5000 0.1666
N 0.5000 0.0000 0.0816
N 0.0000 0.5000 0.9184
Os 0.5000 0.0000 0.3988

ΔE_f (raw) in eV/atom: 0.007

Below is a relaxed OsWN2 crystal, with properties calculated at the GGA-PBE level.

a b c (Å): 6.8522 6.8522 6.8522
angles (deg): 23.70 23.70 23.70
Fractional positions:
N 0.9010 0.9010 0.9010
Os 0.0000 0.0000 0.0000
N 0.0990 0.0990 0.0990
W 0.5000 0.5000 0.5000

ΔE_f (raw) in eV/atom: 0.197
Relative energy among the computed polymorphs in eV/atom: 0.0000

Below is a relaxed OsWN2 crystal, with properties calculated at the GGA-PBE level.

a b c (Å): 3.8592 3.8592 3.8592
angles (deg): 60.00 60.00 60.00
Fractional positions:
N 0.2500 0.2500 0.2500
N 0.7500 0.7500 0.7500
Os 0.5000 0.5000 0.5000
W 0.0000 0.0000 0.0000

ΔE_f (raw) in eV/atom: 1.125
Relative energy among the computed polymorphs in eV/atom: 0.9282

Below is a relaxed YOsN2 crystal, with properties calculated at the GGA-PBE level.

a b c (Å): 4.0311 4.0311 4.0311
angles (deg): 60.00 60.00 60.00
Fractional positions:
N 0.2500 0.2500 0.2500
Os 0.5000 0.5000 0.5000
N 0.7500 0.7500 0.7500
Y 0.0000 0.0000 0.0000

ΔE_f (raw) in eV/atom: 0.237
Relative energy among the computed polymorphs in eV/atom: 0.6138

Below is a relaxed Y12Os3N5 crystal, with properties calculated at the GGA-PBE level.

a b c (Å): 13.1663 13.1663 13.1663
angles (deg): 109.47 109.47 109.47
Fractional positions:
N 0.3750 0.2500 0.1250
Y 0.4020 0.0249 0.3190
N 0.1250 0.3750 0.2500
Y 0.8190 0.9020 0.0249
Y 0.0980 0.1810 0.4751
Os 0.7500 0.3750 0.1250
Os 0.2500 0.1250 0.3750
Y 0.7060 0.1230 0.0249
Y 0.2060 0.6810 0.0830
N 0.0000 0.0000 0.0000
Y 0.7940 0.4751 0.3770
Y 0.1810 0.0830 0.7060
Y 0.5249 0.3190 0.9020
Y 0.4751 0.7940 0.8770
Y 0.3770 0.4020 0.0830
Y 0.7940 0.3190 0.9170
N 0.7500 0.6250 0.3750
N 0.0000 0.5000 0.5000
Y 0.3770 0.9751 0.7940
N 0.2500 0.3750 0.6250
Y 0.2940 0.8770 0.9751
Os 0.6250 0.2500 0.3750
Y 0.5980 0.9751 0.6810
Y 0.0249 0.6230 0.7060
N 0.1250 0.7500 0.3750
N 0.5000 0.0000 0.5000
N 0.5000 0.5000 0.0000
Y 0.3190 0.7940 0.4170
Os 0.2500 0.6250 0.8750
Y 0.1230 0.7060 0.5249
Y 0.4170 0.2940 0.3190
Y 0.0830 0.1810 0.2060
N 0.8750 0.2500 0.6250
Y 0.5980 0.6230 0.4170
Y 0.4020 0.3770 0.5830
Y 0.6230 0.0249 0.2060
Y 0.6810 0.2060 0.5830
Y 0.8770 0.5830 0.9020
Y 0.3190 0.5249 0.4020
Y 0.0830 0.9020 0.3770
Y 0.5830 0.7060 0.6810
N 0.0000 0.0000 0.5000
Y 0.9020 0.8190 0.5249
Y 0.9170 0.0980 0.6230
N 0.7500 0.1250 0.8750
Y 0.9170 0.8190 0.7940
Os 0.7500 0.8750 0.6250
N 0.5000 0.5000 0.5000
N 0.2500 0.8750 0.1250
Y 0.5249 0.2060 0.1230
Y 0.5830 0.8770 0.4020
Os 0.8750 0.1250 0.2500
Os 0.3750 0.7500 0.6250
N 0.6250 0.7500 0.8750
Y 0.2940 0.4170 0.8190
Os 0.8750 0.7500 0.1250
Os 0.6250 0.3750 0.7500
Y 0.7060 0.5830 0.1810
Y 0.8190 0.9170 0.2940
Y 0.6810 0.4751 0.5980
Os 0.1250 0.8750 0.7500
Y 0.4751 0.6810 0.0980
N 0.5000 0.0000 0.0000
Y 0.8770 0.2940 0.4751
N 0.3750 0.1250 0.7500
Y 0.1810 0.0980 0.9751
Y 0.0249 0.4020 0.8190
Y 0.9751 0.3770 0.2940
Os 0.3750 0.6250 0.2500
N 0.8750 0.6250 0.7500
Y 0.1230 0.4170 0.0980
Y 0.9751 0.5980 0.1810
Y 0.0980 0.9170 0.1230
Y 0.2060 0.5249 0.6230
Y 0.6230 0.5980 0.9170
Y 0.9020 0.0830 0.8770
N 0.6250 0.8750 0.2500
Os 0.1250 0.2500 0.8750
N 0.0000 0.5000 0.0000
Y 0.4170 0.1230 0.5980

ΔE_f (raw) in eV/atom: -0.765

Below is a relaxed YOsN2 crystal, with properties calculated at the GGA-PBE level.

a b c (Å): 4.6941 4.6941 6.2873
angles (deg): 68.08 68.08 90.00
Fractional positions:
Y 0.5000 0.5000 0.0000
Y 0.2500 0.7500 0.5000
N 0.6928 0.1250 0.2500
N 0.8750 0.9428 0.7500
Os 0.7500 0.2500 0.5000
Os 0.0000 0.0000 0.0000
N 0.0572 0.6250 0.2500
N 0.3750 0.3072 0.7500

ΔE_f (raw) in eV/atom: -0.377
Relative energy among the computed polymorphs in eV/atom: 0.0000

Below is a relaxed Y3Os5N12 crystal, with properties calculated at the GGA-PBE level.

a b c (Å): 11.0112 11.0112 11.0112
angles (deg): 109.47 109.47 109.47
Fractional positions:
N 0.8815 0.5785 0.8982
N 0.5167 0.1970 0.1185
Os 0.0000 0.0000 0.5000
N 0.8197 0.9215 0.3030
N 0.9215 0.1018 0.6185
Y 0.2500 0.1250 0.3750
Y 0.1250 0.8750 0.7500
Os 0.0000 0.0000 0.0000
N 0.1018 0.1803 0.4833
N 0.6970 0.1185 0.0167
Os 0.6250 0.8750 0.2500
N 0.1018 0.9215 0.1185
N 0.3815 0.3982 0.0785
N 0.5785 0.8815 0.3982
N 0.0785 0.1803 0.1970
N 0.6018 0.9833 0.6803
N 0.3982 0.3815 0.5785
N 0.0167 0.3982 0.8197
Os 0.0000 0.5000 0.0000
N 0.8982 0.0785 0.8815
N 0.0167 0.6185 0.6970
Os 0.7500 0.6250 0.3750
N 0.4833 0.8030 0.8815
Os 0.3750 0.2500 0.1250
Os 0.1250 0.7500 0.3750
N 0.1803 0.0785 0.6970
Os 0.5000 0.0000 0.0000
N 0.3030 0.8815 0.9833
N 0.1803 0.1018 0.9833
Os 0.2500 0.8750 0.1250
Os 0.1250 0.3750 0.2500
N 0.3197 0.8030 0.4215
N 0.6185 0.0167 0.1970
Y 0.8750 0.1250 0.2500
Y 0.7500 0.3750 0.1250
Y 0.2500 0.6250 0.8750
Os 0.3750 0.1250 0.7500
Os 0.6250 0.7500 0.8750
N 0.6970 0.5785 0.1803
N 0.8197 0.8982 0.0167
N 0.8030 0.3197 0.9215
N 0.6803 0.1970 0.5785
N 0.3982 0.0167 0.3197
N 0.0785 0.8982 0.3815
N 0.5785 0.6970 0.6803
N 0.6018 0.6185 0.4215
Os 0.8750 0.2500 0.6250
N 0.3197 0.5167 0.3982
Y 0.6250 0.2500 0.3750
N 0.3815 0.9833 0.8030
N 0.1970 0.6803 0.0785
Y 0.3750 0.7500 0.6250
N 0.3030 0.4215 0.8197
N 0.9833 0.3815 0.3030
Os 0.5000 0.5000 0.0000
Y 0.7500 0.8750 0.6250
Y 0.6250 0.3750 0.7500
Os 0.2500 0.3750 0.6250
Os 0.7500 0.1250 0.8750
N 0.4215 0.3030 0.3197
N 0.5167 0.3197 0.8982
N 0.8982 0.8197 0.5167
Os 0.0000 0.5000 0.5000
N 0.1185 0.6970 0.5167
N 0.9215 0.8197 0.8030
N 0.8030 0.4833 0.3815
N 0.9833 0.6018 0.1803
N 0.1970 0.5167 0.6185
N 0.4833 0.6803 0.1018
Os 0.8750 0.6250 0.7500
Y 0.8750 0.7500 0.1250
Os 0.5000 0.5000 0.5000
Os 0.5000 0.0000 0.5000
N 0.6803 0.4833 0.6018
N 0.8815 0.3030 0.4833
Y 0.1250 0.2500 0.8750
N 0.6185 0.6018 0.9215
N 0.4215 0.1185 0.6018
Y 0.3750 0.6250 0.2500
N 0.1185 0.4215 0.1018

ΔE_f (raw) in eV/atom: -0.194

Below is a relaxed YOsN2 crystal, with properties calculated at the GGA-PBE level.

a b c (Å): 6.2020 6.2020 6.2020
angles (deg): 33.68 33.68 33.68
Fractional positions:
Os 0.0000 0.0000 0.0000
N 0.1036 0.1036 0.1036
Y 0.5000 0.5000 0.5000
N 0.8964 0.8964 0.8964

ΔE_f (raw) in eV/atom: -0.213
Relative energy among the computed polymorphs in eV/atom: 0.1633

Below is a relaxed ZnOsN3 crystal, with properties calculated at the GGA-PBE level.

a b c (Å): 3.7318 3.7318 3.7318
angles (deg): 90.00 90.00 90.00
Fractional positions:
Zn 0.0000 0.0000 0.0000
N 0.0000 0.0000 0.5000
N 0.0000 0.5000 0.0000
Os 0.5000 0.5000 0.5000
N 0.5000 0.0000 0.0000

ΔE_f (raw) in eV/atom: 2.485